No. 1
PrSmTm2 | PBE | optimized geometry Values from VASP.

Structure (Quantum ESPRESSO input):
```
&SYSTEM
  ibrav = 0, nat = 4, ntyp = 3
/
ATOMIC_SPECIES
Pr 140.91 Pr.upf
Sm 150.36 Sm.upf
Tm 168.93 Tm.upf
ATOMIC_POSITIONS crystal
Pr 0.000 0.000 0.000
Sm 0.500 0.500 0.000
Tm 0.000 0.500 0.500
Tm 0.500 0.000 0.500
CELL_PARAMETERS angstrom
5.095 0.000 0.000
0.000 5.095 0.000
0.000 0.000 4.990
```

Output
**Raw total energy**: -18.343 eV/f.u.
**Calculated volume**: 32.39 A^3/atom
**Formation enthalpy at 0 K**: 25 meV/atom


No. 2
PrSm2DyS6 | PBE | optimized geometry Values from VASP.

Structure (Quantum ESPRESSO input):
```
&SYSTEM
  ibrav = 0, nat = 10, ntyp = 4
/
ATOMIC_SPECIES
Pr 140.91 Pr.upf
Sm 150.36 Sm.upf
Dy 162.50 Dy.upf
S 32.06 S.upf
ATOMIC_POSITIONS crystal
Pr 0.000 0.000 0.000
Sm 0.290 0.290 0.290
Sm 0.794 0.794 0.794
Dy 0.495 0.495 0.495
S 0.099 0.683 0.404
S 0.201 0.595 0.886
S 0.404 0.099 0.683
S 0.595 0.886 0.201
S 0.683 0.404 0.099
S 0.886 0.201 0.595
CELL_PARAMETERS angstrom
3.546 2.047 6.261
-3.546 2.047 6.261
0.000 -4.095 6.261
```

Output
**Raw total energy**: -63.855 eV/f.u.
**Calculated volume**: 27.27 A^3/atom
**E_form (uncorrected)**: -2.03 eV per atom


No. 3
K2CrCo | PBE | optimized geometry Values from VASP.

Structure (Quantum ESPRESSO input):
```
&SYSTEM
  ibrav = 0, nat = 4, ntyp = 3
/
ATOMIC_SPECIES
K 39.10 K.upf
Cr 52.00 Cr.upf
Co 58.93 Co.upf
ATOMIC_POSITIONS crystal
K 0.244 0.244 0.244
K 0.756 0.756 0.756
Cr 0.000 0.000 0.000
Co 0.500 0.500 0.500
CELL_PARAMETERS angstrom
1.643 0.949 11.473
-1.643 0.949 11.473
0.000 -1.897 11.473
```

Output
**Raw total energy**: -13.475 eV/f.u.
**Calculated volume**: 26.82 A^3/atom
**Formation enthalpy at 0 K**: 1362 meV/atom


No. 4
SmDy5Al3 | PBE | optimized geometry Values from VASP.

Structure (Quantum ESPRESSO input):
```
&SYSTEM
  ibrav = 0, nat = 18, ntyp = 3
/
ATOMIC_SPECIES
Sm 150.36 Sm.upf
Dy 162.50 Dy.upf
Al 26.98 Al.upf
ATOMIC_POSITIONS crystal
Sm 0.000 0.000 0.000
Sm 0.000 0.000 0.500
Dy 0.000 0.333 0.250
Dy 0.000 0.667 0.750
Dy 0.333 0.000 0.250
Dy 0.333 0.333 0.750
Dy 0.333 0.667 0.000
Dy 0.333 0.667 0.500
Dy 0.667 0.000 0.750
Dy 0.667 0.333 0.000
Dy 0.667 0.333 0.500
Dy 0.667 0.667 0.250
Al 0.000 0.337 0.750
Al 0.000 0.663 0.250
Al 0.337 0.000 0.750
Al 0.337 0.337 0.250
Al 0.663 0.000 0.250
Al 0.663 0.663 0.750
CELL_PARAMETERS angstrom
9.110 0.000 0.000
-4.555 7.889 0.000
0.000 0.000 6.658
```

Output
**Raw total energy**: -41.292 eV/f.u.
**Calculated volume**: 26.58 A^3/atom
**Formation enthalpy at 0 K**: -259 meV/atom


No. 5
Ca2ZrBeAs | PBE | optimized geometry Values from VASP.

Structure (Quantum ESPRESSO input):
```
&SYSTEM
  ibrav = 0, nat = 5, ntyp = 4
/
ATOMIC_SPECIES
Ca 40.08 Ca.upf
Zr 91.22 Zr.upf
Be 9.01 Be.upf
As 74.92 As.upf
ATOMIC_POSITIONS crystal
Ca 0.000 0.500 0.000
Ca 0.500 0.000 0.000
Zr 0.000 0.000 0.000
Be 0.000 0.000 0.500
As 0.500 0.500 0.500
CELL_PARAMETERS angstrom
5.718 0.000 0.000
0.000 5.718 0.000
0.000 0.000 4.568
```

Output
**Raw total energy**: -15.473 eV/f.u.
**Calculated volume**: 29.87 A^3/atom
**Formation enthalpy at 0 K**: 1091 meV/atom


No. 6
U3Si4Pt7 | PBE | optimized geometry Values from VASP.

Structure (Quantum ESPRESSO input):
```
&SYSTEM
  ibrav = 0, nat = 14, ntyp = 3
/
ATOMIC_SPECIES
U 238.03 U.upf
Si 28.09 Si.upf
Pt 195.08 Pt.upf
ATOMIC_POSITIONS crystal
U 0.000 0.000 0.000
U 0.326 0.326 0.331
U 0.674 0.674 0.669
Si 0.111 0.111 0.831
Si 0.338 0.338 0.740
Si 0.662 0.662 0.260
Si 0.889 0.889 0.169
Pt 0.000 0.000 0.500
Pt 0.170 0.170 0.421
Pt 0.306 0.306 0.963
Pt 0.491 0.491 0.720
Pt 0.509 0.509 0.280
Pt 0.694 0.694 0.037
Pt 0.830 0.830 0.579
CELL_PARAMETERS angstrom
7.796 -2.016 0.000
7.796 2.016 0.000
-5.535 0.000 7.742
```

Output
**Raw total energy**: -108.244 eV/f.u.
**Calculated volume**: 17.38 A^3/atom
**E_form (uncorrected)**: -0.74 eV per atom


No. 7
KPSCl2 | PBE | optimized geometry Values from VASP.

Structure (Quantum ESPRESSO input):
```
&SYSTEM
  ibrav = 0, nat = 5, ntyp = 4
/
ATOMIC_SPECIES
K 39.10 K.upf
P 30.97 P.upf
S 32.06 S.upf
Cl 35.45 Cl.upf
ATOMIC_POSITIONS crystal
K 0.000 0.000 0.000
P 0.500 0.500 0.500
S 0.500 0.500 0.000
Cl 0.000 0.500 0.500
Cl 0.500 0.000 0.500
CELL_PARAMETERS angstrom
5.187 0.000 0.000
0.000 5.187 0.000
0.000 0.000 4.461
```

Output
**Raw total energy**: -17.760 eV/f.u.
**Calculated volume**: 24.00 A^3/atom
**E_form (uncorrected)**: -0.69 eV per atom


No. 8
Pm2Al4Cu3Sn | PBE | optimized geometry Values from VASP.

Structure (Quantum ESPRESSO input):
```
&SYSTEM
  ibrav = 0, nat = 10, ntyp = 4
/
ATOMIC_SPECIES
Pm 145.00 Pm.upf
Al 26.98 Al.upf
Cu 63.55 Cu.upf
Sn 118.71 Sn.upf
ATOMIC_POSITIONS crystal
Pm 0.000 0.500 0.239
Pm 0.500 0.000 0.761
Al 0.000 0.000 0.000
Al 0.000 0.500 0.656
Al 0.500 0.000 0.344
Al 0.500 0.500 0.000
Cu 0.000 0.500 0.879
Cu 0.500 0.000 0.121
Cu 0.500 0.500 0.500
Sn 0.000 0.000 0.500
CELL_PARAMETERS angstrom
4.252 0.000 0.000
0.000 4.252 0.000
0.000 0.000 10.596
```

Output
**Raw total energy**: -44.963 eV/f.u.
**Calculated volume**: 19.16 A^3/atom
**Formation enthalpy at 0 K**: -420 meV/atom


No. 9
Tb2ErTe5 | PBE | optimized geometry Values from VASP.

Structure (Quantum ESPRESSO input):
```
&SYSTEM
  ibrav = 0, nat = 16, ntyp = 3
/
ATOMIC_SPECIES
Tb 158.93 Tb.upf
Er 167.26 Er.upf
Te 127.60 Te.upf
ATOMIC_POSITIONS crystal
Tb 0.161 0.839 0.561
Tb 0.161 0.839 0.939
Tb 0.839 0.161 0.061
Tb 0.839 0.161 0.439
Er 0.202 0.798 0.250
Er 0.798 0.202 0.750
Te 0.034 0.966 0.124
Te 0.034 0.966 0.376
Te 0.277 0.723 0.750
Te 0.328 0.672 0.074
Te 0.328 0.672 0.426
Te 0.672 0.328 0.574
Te 0.672 0.328 0.926
Te 0.723 0.277 0.250
Te 0.966 0.034 0.624
Te 0.966 0.034 0.876
CELL_PARAMETERS angstrom
3.073 -7.452 0.000
3.073 7.452 0.000
0.000 0.000 13.477
```

Output
**Raw total energy**: -39.194 eV/f.u.
**Calculated volume**: 38.57 A^3/atom
**E_form (uncorrected)**: -1.21 eV per atom


No. 10
Sm4Y5Mg | PBE | optimized geometry Values from VASP.

Structure (Quantum ESPRESSO input):
```
&SYSTEM
  ibrav = 0, nat = 10, ntyp = 3
/
ATOMIC_SPECIES
Sm 150.36 Sm.upf
Y 88.91 Y.upf
Mg 24.30 Mg.upf
ATOMIC_POSITIONS crystal
Sm 0.000 0.000 0.104
Sm 0.000 0.000 0.311
Sm 0.000 0.000 0.689
Sm 0.000 0.000 0.896
Y 0.500 0.500 0.000
Y 0.500 0.500 0.207
Y 0.500 0.500 0.413
Y 0.500 0.500 0.587
Y 0.500 0.500 0.793
Mg 0.000 0.000 0.500
CELL_PARAMETERS angstrom
3.619 0.000 0.000
0.000 3.619 0.000
0.000 0.000 24.448
```

Output
**Raw total energy**: -52.832 eV/f.u.
**Calculated volume**: 32.03 A^3/atom
**Formation enthalpy at 0 K**: -4 meV/atom


No. 11
Fe2CuHg | PBE | optimized geometry Values from VASP.

Structure (Quantum ESPRESSO input):
```
&SYSTEM
  ibrav = 0, nat = 4, ntyp = 3
/
ATOMIC_SPECIES
Fe 55.84 Fe.upf
Cu 63.55 Cu.upf
Hg 200.59 Hg.upf
ATOMIC_POSITIONS crystal
Fe 0.000 0.500 0.000
Fe 0.500 0.000 0.000
Cu 0.000 0.000 0.500
Hg 0.500 0.500 0.500
CELL_PARAMETERS angstrom
3.751 0.000 0.000
0.000 3.751 0.000
0.000 0.000 4.058
```

Output
**Raw total energy**: -20.000 eV/f.u.
**Calculated volume**: 14.27 A^3/atom
**Formation enthalpy at 0 K**: 331 meV/atom


No. 12
Cs12K5Cl3 | PBE | optimized geometry Values from VASP.

Structure (Quantum ESPRESSO input):
```
&SYSTEM
  ibrav = 0, nat = 80, ntyp = 3
/
ATOMIC_SPECIES
Cs 132.91 Cs.upf
K 39.10 K.upf
Cl 35.45 Cl.upf
ATOMIC_POSITIONS crystal
Cs 0.022 0.623 0.367
Cs 0.022 0.899 0.655
Cs 0.101 0.256 0.123
Cs 0.101 0.345 0.978
Cs 0.123 0.101 0.256
Cs 0.123 0.522 0.867
Cs 0.133 0.756 0.655
Cs 0.133 0.877 0.478
Cs 0.155 0.256 0.633
Cs 0.155 0.399 0.522
Cs 0.244 0.345 0.867
Cs 0.244 0.399 0.377
Cs 0.256 0.123 0.101
Cs 0.256 0.633 0.155
Cs 0.345 0.867 0.244
Cs 0.345 0.978 0.101
Cs 0.367 0.022 0.623
Cs 0.367 0.845 0.744
Cs 0.377 0.244 0.399
Cs 0.377 0.633 0.978
Cs 0.399 0.377 0.244
Cs 0.399 0.522 0.155
Cs 0.478 0.133 0.877
Cs 0.478 0.845 0.601
Cs 0.522 0.155 0.399
Cs 0.522 0.867 0.123
Cs 0.601 0.478 0.845
Cs 0.601 0.623 0.756
Cs 0.623 0.367 0.022
Cs 0.623 0.756 0.601
Cs 0.633 0.155 0.256
Cs 0.633 0.978 0.377
Cs 0.655 0.022 0.899
Cs 0.655 0.133 0.756
Cs 0.744 0.367 0.845
Cs 0.744 0.877 0.899
Cs 0.756 0.601 0.623
Cs 0.756 0.655 0.133
Cs 0.845 0.601 0.478
Cs 0.845 0.744 0.367
Cs 0.867 0.123 0.522
Cs 0.867 0.244 0.345
Cs 0.877 0.478 0.133
Cs 0.877 0.899 0.744
Cs 0.899 0.655 0.022
Cs 0.899 0.744 0.877
Cs 0.978 0.101 0.345
Cs 0.978 0.377 0.633
K 0.000 0.000 0.000
K 0.000 0.000 0.500
K 0.000 0.500 0.000
K 0.000 0.500 0.500
K 0.125 0.750 0.875
K 0.125 0.875 0.250
K 0.250 0.125 0.875
K 0.250 0.625 0.375
K 0.375 0.250 0.625
K 0.375 0.625 0.750
K 0.500 0.000 0.000
K 0.500 0.000 0.500
K 0.500 0.500 0.000
K 0.500 0.500 0.500
K 0.625 0.375 0.250
K 0.625 0.750 0.375
K 0.750 0.375 0.625
K 0.750 0.875 0.125
K 0.875 0.125 0.750
K 0.875 0.250 0.125
Cl 0.125 0.250 0.375
Cl 0.125 0.375 0.750
Cl 0.250 0.375 0.125
Cl 0.250 0.875 0.625
Cl 0.375 0.125 0.250
Cl 0.375 0.750 0.125
Cl 0.625 0.250 0.875
Cl 0.625 0.875 0.750
Cl 0.750 0.125 0.375
Cl 0.750 0.625 0.875
Cl 0.875 0.625 0.250
Cl 0.875 0.750 0.625
CELL_PARAMETERS angstrom
-12.744 12.744 12.744
12.744 -12.744 12.744
12.744 12.744 -12.744
```

Output
**Raw total energy**: -29.163 eV/f.u.
**Calculated volume**: 103.49 A^3/atom
**E_form (uncorrected)**: -0.39 eV per atom